[1]
{
  "formula": "TlInCo3",
  "functional": "PBE",
  "state": "optimized geometry",
  "e_form_ev_per_atom": 1.364,
  "density_g_cm3": 7.6,
  "dos_at_fermi_per_ev_cell": 8.6,
  "lattice": [[4.774, 0.000, 0.000], [0.000, 4.774, 0.000], [0.000, 0.000, 4.774]],
  "species": ["Tl", "In", "Co", "Co", "Co"],
  "fractional_positions": [[0.000, 0.000, 0.000], [0.500, 0.500, 0.500], [0.000, 0.500, 0.500], [0.500, 0.000, 0.500], [0.500, 0.500, 0.000]]
}

[2]
{
  "formula": "TlInCo3",
  "functional": "PBE",
  "state": "optimized geometry",
  "e_form_ev_per_atom": 1.497,
  "density_g_cm3": 7.5,
  "dos_at_fermi_per_ev_cell": 17.8,
  "lattice": [[4.798, 0.000, 0.000], [0.000, 4.798, 0.000], [0.000, 0.000, 4.798]],
  "species": ["Tl", "In", "Co", "Co", "Co"],
  "fractional_positions": [[0.000, 0.000, 0.000], [0.500, 0.500, 0.500], [0.000, 0.000, 0.500], [0.000, 0.500, 0.000], [0.500, 0.000, 0.000]]
}

[3]
{
  "formula": "TlInCo",
  "functional": "PBE",
  "state": "optimized geometry",
  "e_form_ev_per_atom": 0.417,
  "density_g_cm3": 10.1,
  "dos_at_fermi_per_ev_cell": 3.0,
  "lattice": [[3.275, 0.000, 0.000], [-1.637, 2.836, 0.000], [0.000, 0.000, 6.663]],
  "species": ["Tl", "In", "Co"],
  "fractional_positions": [[0.000, 0.000, 0.000], [0.333, 0.667, 0.585], [0.667, 0.333, 0.304]]
}

[4]
{
  "formula": "TlIn2Co2",
  "functional": "PBE",
  "state": "optimized geometry",
  "e_form_ev_per_atom": 0.249,
  "density_g_cm3": 10.3,
  "dos_at_fermi_per_ev_cell": 9.9,
  "lattice": [[7.210, 0.000, 0.000], [0.000, 7.210, 0.000], [0.000, 0.000, 3.421]],
  "species": ["Tl", "Tl", "In", "In", "In", "In", "Co", "Co", "Co", "Co"],
  "fractional_positions": [[0.000, 0.000, 0.000], [0.500, 0.500, 0.000], [0.151, 0.349, 0.500], [0.349, 0.849, 0.500], [0.651, 0.151, 0.500], [0.849, 0.651, 0.500], [0.144, 0.644, 0.000], [0.356, 0.144, 0.000], [0.644, 0.856, 0.000], [0.856, 0.356, 0.000]]
}